# 1
Ho8As4Se3S: optimized geometry, PBE-GGA.

Properties
Crystal system ... trigonal
Fermi-level density of states ... 17.8 states/eV/cell
M_tot ... 0.0000 μB per atom
Energy relative to the elements, uncorrected ... -1.709 eV/atom
ρ ... 8.26 g/cm³

Cell and atoms, written as CIF:
```
data_Ho8As4Se3S
_cell_length_a 8.1275
_cell_length_b 8.1275
_cell_length_c 19.9059
_cell_angle_alpha 90.00
_cell_angle_beta 90.00
_cell_angle_gamma 120.00
_space_group_name_H-M_alt 'R -3 m'
_space_group_IT_number 166
_space_group_name_Hall '-R 3 2"'
loop_
_atom_site_label
_atom_site_type_symbol
_atom_site_fract_x
_atom_site_fract_y
_atom_site_fract_z
Ho1 Ho 0.0000 0.0000 0.2460
Ho2 Ho 0.0052 0.5026 0.7526
As1 As 0.0000 0.0000 0.5000
As2 As 0.0000 0.5000 0.5000
Se1 Se 0.0000 0.5000 0.0000
S1 S 0.0000 0.0000 0.0000
```

***

# 2
Cs3RhF5: optimized geometry, PBE-GGA.

Properties
Crystal system ... tetragonal
M_tot ... 0.3333 μB per atom
Energy relative to the elements, uncorrected ... -2.108 eV/atom
ρ ... 4.47 g/cm³

Cell and atoms, written as CIF:
```
data_Cs3RhF5
_cell_length_a 8.0600
_cell_length_b 8.0600
_cell_length_c 13.6459
_cell_angle_alpha 90.00
_cell_angle_beta 90.00
_cell_angle_gamma 90.00
_space_group_name_H-M_alt 'I 4/m c m'
_space_group_IT_number 140
_space_group_name_Hall '-I 4 2c'
loop_
_atom_site_label
_atom_site_type_symbol
_atom_site_fract_x
_atom_site_fract_y
_atom_site_fract_z
Cs1 Cs 0.0000 0.0000 0.2500
Cs2 Cs 0.1758 0.3242 0.0000
Rh1 Rh 0.0000 0.5000 0.2500
F1 F 0.0000 0.0000 0.0000
F2 F 0.1430 0.3570 0.3477
```

***

# 3
LiY2ErS4: optimized geometry, PBE-GGA.

Properties
Crystal system ... monoclinic
Fermi-level density of states ... 2.6 states/eV/cell
M_tot ... 0.0000 μB per atom
Energy relative to the elements, uncorrected ... -1.937 eV/atom
ρ ... 4.86 g/cm³

Cell and atoms, written as CIF:
```
data_LiY2ErS4
_cell_length_a 6.7011
_cell_length_b 3.8709
_cell_length_c 6.7091
_cell_angle_alpha 90.00
_cell_angle_beta 109.38
_cell_angle_gamma 90.00
_space_group_name_H-M_alt 'P 1 2/m 1'
_space_group_IT_number 10
_space_group_name_Hall '-P 2y'
loop_
_atom_site_label
_atom_site_type_symbol
_atom_site_fract_x
_atom_site_fract_y
_atom_site_fract_z
Li1 Li 0.0000 0.0000 0.0000
Y1 Y 0.0000 0.5000 0.5000
Y2 Y 0.5000 0.0000 0.5000
Er1 Er 0.5000 0.5000 0.0000
S1 S 0.2452 0.5000 0.2421
S2 S 0.2480 0.0000 0.7580
```

***

# 4
Ba6HBr3N2: optimized geometry, PBE-GGA.

Properties
Crystal system ... monoclinic
Fermi-level density of states ... 12.1 states/eV/cell
M_tot ... 0.0983 μB per atom
Final energy ... -4.115 eV per atom
ρ ... 4.97 g/cm³

Cell and atoms, written as CIF:
```
data_Ba6HBr3N2
_cell_length_a 7.3029
_cell_length_b 12.7332
_cell_length_c 8.2130
_cell_angle_alpha 90.00
_cell_angle_beta 107.11
_cell_angle_gamma 90.00
_space_group_name_H-M_alt 'C 1 2/m 1'
_space_group_IT_number 12
_space_group_name_Hall '-C 2y'
loop_
_atom_site_label
_atom_site_type_symbol
_atom_site_fract_x
_atom_site_fract_y
_atom_site_fract_z
Ba1 Ba 0.2123 0.0000 0.1910
Ba2 Ba 0.2464 0.3234 0.1970
H1 H 0.0000 0.5000 0.0000
Br1 Br 0.0000 0.0000 0.5000
Br2 Br 0.0000 0.3384 0.5000
N1 N 0.0000 0.1690 0.0000
```

***

# 5
SmHoCo: optimized geometry, PBE-GGA.

Properties
Crystal system ... monoclinic
Fermi-level density of states ... 7.7 states/eV/cell
M_tot ... 0.0000 μB per atom
Final energy ... -5.579 eV per atom
ρ ... 8.07 g/cm³

Cell and atoms, written as CIF:
```
data_SmHoCo
_cell_length_a 5.6805
_cell_length_b 3.8082
_cell_length_c 7.1522
_cell_angle_alpha 90.00
_cell_angle_beta 95.54
_cell_angle_gamma 90.00
_space_group_name_H-M_alt 'P 1 21/m 1'
_space_group_IT_number 11
_space_group_name_Hall '-P 2yb'
loop_
_atom_site_label
_atom_site_type_symbol
_atom_site_fract_x
_atom_site_fract_y
_atom_site_fract_z
Sm1 Sm 0.1827 0.2500 0.3260
Ho1 Ho 0.3426 0.2500 0.8381
Co1 Co 0.1334 0.7500 0.0427
```

***

# 6
LaEr4Mg: optimized geometry, PBE-GGA.

Properties
Crystal system ... tetragonal
Fermi-level density of states ... 9.0 states/eV/cell
M_tot ... 0.0002 μB per atom
Final energy ... -4.129 eV per atom
ρ ... 7.55 g/cm³

Cell and atoms, written as CIF:
```
data_LaEr4Mg
_cell_length_a 3.6043
_cell_length_b 3.6043
_cell_length_c 14.0928
_cell_angle_alpha 90.00
_cell_angle_beta 90.00
_cell_angle_gamma 90.00
_space_group_name_H-M_alt 'P 4/m m m'
_space_group_IT_number 123
_space_group_name_Hall '-P 4 2'
loop_
_atom_site_label
_atom_site_type_symbol
_atom_site_fract_x
_atom_site_fract_y
_atom_site_fract_z
La1 La 0.0000 0.0000 0.0000
Er1 Er 0.0000 0.0000 0.3507
Er2 Er 0.5000 0.5000 0.1816
Mg1 Mg 0.5000 0.5000 0.5000
```

***

> Look up the ρ of the first one.

8.26 g/cm³

***

> What is the M_tot in the first record?

0.0000 μB per atom